[1]
The following is a DFT calculation (PBE) of crystalline CuRuSe2 at its relaxed geometry.

Summary:
ΔE_f (raw)   0.22 eV per atom
Magnetization   0.17 μB/cell
Space group   P4/mmm (123)
DOS(E_F)   3.57 states/eV/cell
VASP energy   -0.3578 Ry/atom

abc: 3.1249 3.1249 6.5113
angles: 90.00 90.00 90.00
Element x y z (fractional)
Cu 0.0000 0.0000 0.0000
Ru 0.0000 0.0000 0.5000
Se 0.5000 0.5000 0.2617
Se 0.5000 0.5000 0.7383



[2]
The following is a DFT calculation (PBE) of crystalline CsInPb2 at its relaxed geometry.

Summary:
Magnetization   0.00 μB/cell
Formation enthalpy at 0 K   -93 meV/atom
Space group   P4/mmm (123)
DOS(E_F)   1.34 states/eV/cell
VASP energy   -0.2091 Ry/atom

abc: 4.1359 4.1359 8.6613
angles: 90.00 90.00 90.00
Element x y z (fractional)
Cs 0.0000 0.0000 0.0000
In 0.0000 0.0000 0.5000
Pb 0.5000 0.5000 0.3215
Pb 0.5000 0.5000 0.6785



[3]
The following is a DFT calculation (PBE) of crystalline YTa2Ir at its relaxed geometry.

Summary:
Magnetization   0.00 μB/cell
Formation enthalpy at 0 K   97 meV/atom
Space group   R3m (160)
DOS(E_F)   3.15 states/eV/cell
VASP energy   -0.7101 Ry/atom
ΔE to the lowest computed polymorph   1.12 eV per formula unit

abc: 9.5250 9.5250 9.5250
angles: 18.88 18.88 18.88
Element x y z (fractional)
Y 0.0000 0.0000 0.0000
Ta 0.2384 0.2384 0.2384
Ta 0.4914 0.4914 0.4914
Ir 0.7543 0.7543 0.7543